The following is a DFT calculation (PBE+U) of Cu3NiH6Cl2O6 after structural relaxation.

Unit cell a=6.0607 b=6.0607 c=6.0607 alpha=70.84 beta=70.84 gamma=70.84
With the nearest neighbours (Å) after each atom.
Sites, in units of the cell vectors:
O 0.7318 0.3608 0.7318  1 H 1.00
H 0.8191 0.2233 0.2233  1 O 1.00
Cl 0.8242 0.8242 0.8242  3 H 2.02
H 0.7767 0.1809 0.7767  1 O 1.00
Cu 0.0000 0.5000 0.5000  4 O 1.99
O 0.6392 0.2682 0.2682  1 H 1.00
O 0.3608 0.7318 0.7318  1 H 1.00
H 0.1809 0.7767 0.7767  1 O 1.00
Cu 0.5000 0.5000 0.0000  4 O 1.99
H 0.2233 0.8191 0.2233  1 O 1.00
O 0.2682 0.2682 0.6392  1 H 1.00
Cl 0.1758 0.1758 0.1758  3 H 2.02
H 0.7767 0.7767 0.1809  1 O 1.00
Cu 0.5000 0.0000 0.5000  4 O 1.99
O 0.2682 0.6392 0.2682  1 H 1.00
Ni 0.5000 0.5000 0.5000  6 O 2.10
H 0.2233 0.2233 0.8191  1 O 1.00
O 0.7318 0.7318 0.3608  1 H 1.00

Results
SG = No. 166
Uncorrected energy = -4.6665 eV per atom